YTc2Os after structural relaxation, computed with GGA-PBE.

* volume: 70.2 Å³ per cell
* ΔE to the lowest computed polymorph: 273 meV per atom
* theoretical density: 11.23 g cm⁻³

The structure in CIF format:
```
data_YTc2Os
_chemical_formula_sum 'Y1 Tc2 Os1'
_cell_length_a 2.957
_cell_length_b 4.256
_cell_length_c 5.772
_cell_angle_alpha 90.00
_cell_angle_beta 104.79
_cell_angle_gamma 90.00
_symmetry_space_group_name_H-M 'P 1 m 1'
_symmetry_Int_Tables_number 6
_symmetry_space_group_name_Hall 'P -2y'
loop_
_atom_site_label
_atom_site_type_symbol
_atom_site_fract_x
_atom_site_fract_y
_atom_site_fract_z
_atom_site_occupancy
Y1 Y 0.000 0.000 0.000 1
Tc1 Tc 0.245 0.000 0.500 1
Tc2 Tc 0.360 0.500 0.713 1
Os1 Os 0.652 0.500 0.305 1
```